[1]
Computed, not measured: a relaxed Cu23AgPd6 crystal at the PBE-GGA level of DFT.

Calculated values
DOS(E_F) in states/eV per atom: 0.55
VASP energy in eV for the cell shown: -127.837

Cell: 8.238 8.238 8.238 Å, 60.00 60.00 60.00°
Positions (direct):
Cu: 0.000 0.000 0.000
Cu: 0.000 0.000 0.500
Cu: 0.000 0.500 0.000
Cu: 0.000 0.500 0.500
Cu: 0.016 0.661 0.661
Cu: 0.124 0.124 0.124
Cu: 0.124 0.124 0.629
Cu: 0.124 0.629 0.124
Cu: 0.339 0.339 0.339
Cu: 0.339 0.339 0.984
Cu: 0.339 0.984 0.339
Cu: 0.371 0.876 0.876
Cu: 0.500 0.000 0.000
Cu: 0.500 0.000 0.500
Cu: 0.500 0.500 0.000
Cu: 0.629 0.124 0.124
Cu: 0.661 0.016 0.661
Cu: 0.661 0.661 0.016
Cu: 0.661 0.661 0.661
Cu: 0.876 0.371 0.876
Cu: 0.876 0.876 0.371
Cu: 0.876 0.876 0.876
Cu: 0.984 0.339 0.339
Ag: 0.500 0.500 0.500
Pd: 0.266 0.266 0.734
Pd: 0.266 0.734 0.266
Pd: 0.266 0.734 0.734
Pd: 0.734 0.266 0.266
Pd: 0.734 0.266 0.734
Pd: 0.734 0.734 0.266

[2]
Computed, not measured: a relaxed CuAg8Pd6 crystal at the PBE-GGA level of DFT.

Calculated values
DOS(E_F) in states/eV per atom: 0.35
VASP energy in eV for the cell shown: -56.018

Cell: 7.641 7.641 5.527 Å, 90.00 90.00 120.00°
Positions (direct):
Cu: 0.000 0.000 0.000
Ag: 0.013 0.672 0.630
Ag: 0.328 0.341 0.630
Ag: 0.333 0.667 0.911
Ag: 0.341 0.013 0.370
Ag: 0.659 0.987 0.630
Ag: 0.667 0.333 0.089
Ag: 0.672 0.659 0.370
Ag: 0.987 0.328 0.370
Pd: 0.021 0.686 0.132
Pd: 0.314 0.335 0.132
Pd: 0.335 0.021 0.868
Pd: 0.665 0.979 0.132
Pd: 0.686 0.665 0.868
Pd: 0.979 0.314 0.868

[3]
Computed, not measured: a relaxed Cu2AgPd8 crystal at the PBE-GGA level of DFT.

Calculated values
DOS(E_F) in states/eV per atom: 1.88
VASP energy in eV for the cell shown: -50.943
E above lowest polymorph in meV per atom: 185

Cell: 6.843 6.843 4.651 Å, 103.15 103.15 116.64°
Positions (direct):
Cu: 0.191 0.809 0.000
Cu: 0.809 0.191 0.000
Ag: 0.500 0.500 0.500
Pd: 0.095 0.095 0.313
Pd: 0.176 0.409 0.881
Pd: 0.271 0.729 0.500
Pd: 0.409 0.176 0.881
Pd: 0.591 0.824 0.119
Pd: 0.729 0.271 0.500
Pd: 0.824 0.591 0.119
Pd: 0.905 0.905 0.687

[4]
Computed, not measured: a relaxed CuAg2Pd3 crystal at the PBE-GGA level of DFT.

Calculated values
DOS(E_F) in states/eV per atom: 0.56
VASP energy in eV for the cell shown: -51.080
E above lowest polymorph in meV per atom: 0

Cell: 6.382 6.382 7.740 Å, 90.00 90.00 143.21°
Positions (direct):
Cu: 0.168 0.832 0.000
Cu: 0.832 0.168 0.000
Ag: 0.167 0.833 0.500
Ag: 0.500 0.500 0.000
Ag: 0.500 0.500 0.500
Ag: 0.833 0.167 0.500
Pd: 0.000 0.000 0.240
Pd: 0.000 0.000 0.760
Pd: 0.330 0.670 0.233
Pd: 0.330 0.670 0.767
Pd: 0.670 0.330 0.233
Pd: 0.670 0.330 0.767

no.,DFT formation energy (meV per atom)
1,13
2,136
3,149
4,-27